## Tl16ZnHg12 (PBE)

Data for a geometry-optimized Tl16ZnHg12 structure.

magnetic moment	0.00	μB per formula unit
energy relative to the elements	0.24	eV per formula unit

abc: 10.2453 10.2453 10.2093
angles: 109.31 109.31 109.27
Last column: nearest neighbours and their distance in Å.
Element x y z (fractional)
Tl  0.3661  0.3661  0.3430  1 Zn 3.07, 2 Tl 3.43
Tl  0.9978  0.9978  0.9993  11 Hg 3.35-3.74, 4 Tl 3.72-3.74
Tl  0.0065  0.0065  0.6407  5 Hg 3.38-3.52, 4 Tl 3.45-3.72
Tl  0.3172  0.3172  0.6851  7 Tl 3.38-3.55, 5 Hg 3.39-3.73
Tl  0.6605  0.4098  0.0085  4 Hg 3.13-3.47, 2 Tl 3.41-3.50, 1 Zn 3.44
Tl  0.6165  0.3137  0.6154  3 Hg 3.19-3.35, 6 Tl 3.38-3.57
Tl  0.0099  0.6712  0.4097  4 Hg 3.14-3.39, 3 Tl 3.44-3.48
Tl  0.9978  0.6328  0.9998  6 Hg 3.40-3.70, 5 Tl 3.41-3.78
Tl  0.6998  0.3228  0.3093  3 Hg 3.25-3.38, 1 Zn 3.35, 6 Tl 3.41-3.63
Tl  0.3982  0.0013  0.6631  5 Hg 3.21-3.57, 6 Tl 3.50-3.57
Tl  0.0013  0.3982  0.6631  5 Hg 3.21-3.57, 6 Tl 3.50-3.57
Tl  0.3228  0.6998  0.3093  3 Hg 3.25-3.38, 1 Zn 3.35, 6 Tl 3.41-3.63
Tl  0.6328  0.9978  0.9998  6 Hg 3.40-3.70, 5 Tl 3.41-3.78
Tl  0.6712  0.0099  0.4097  4 Hg 3.14-3.39, 3 Tl 3.44-3.48
Tl  0.3137  0.6165  0.6154  3 Hg 3.19-3.35, 6 Tl 3.38-3.57
Tl  0.4098  0.6605  0.0085  4 Hg 3.13-3.47, 2 Tl 3.41-3.50, 1 Zn 3.44
Zn  0.6111  0.6111  0.3167  3 Hg 2.84-3.06, 1 Tl 3.07
Hg  0.7938  0.7938  0.2212  1 Zn 2.84, 3 Hg 3.16
Hg  0.6624  0.6624  0.8512  3 Hg 3.16-3.26, 8 Tl 3.35-3.47
Hg  0.3527  0.1720  0.9786  3 Hg 3.02-3.19, 3 Tl 3.13-3.38
Hg  0.8317  0.6474  0.6305  1 Zn 3.06, 3 Hg 3.07-3.26, 3 Tl 3.25-3.36
Hg  0.1628  0.9764  0.3442  3 Hg 3.00-3.16, 1 Tl 3.21
Hg  0.3670  0.0021  0.1899  3 Hg 3.00-3.19, 2 Tl 3.14-3.33
Hg  0.1954  0.8034  0.8225  3 Hg 3.07-3.11, 3 Tl 3.19-3.43
Hg  0.8034  0.1954  0.8225  3 Hg 3.07-3.11, 3 Tl 3.19-3.43
Hg  0.0021  0.3670  0.1899  3 Hg 3.00-3.19, 2 Tl 3.14-3.33
Hg  0.9764  0.1628  0.3442  3 Hg 3.00-3.16, 1 Tl 3.21
Hg  0.6474  0.8317  0.6305  1 Zn 3.06, 3 Hg 3.07-3.26, 3 Tl 3.25-3.36
Hg  0.1720  0.3527  0.9786  3 Hg 3.02-3.19, 3 Tl 3.13-3.38

***

## Sr3MgBi (PBE)

Data for a geometry-optimized Sr3MgBi structure.

magnetic moment	0.00	μB per formula unit
energy relative to the elements	-0.83	eV per formula unit

abc: 6.4000 6.4000 6.4000
angles: 90.00 90.00 90.00
Last column: nearest neighbours and their distance in Å.
Element x y z (fractional)
Sr  0.0000  0.5000  0.0000  2 Bi 3.20
Sr  0.0000  0.0000  0.5000  2 Bi 3.20
Sr  0.5000  0.0000  0.0000  2 Bi 3.20
Mg  0.5000  0.5000  0.5000  12 Sr 4.53
Bi  0.0000  0.0000  0.0000  6 Sr 3.20

***

## Na2VSN (PBE)

Data for a geometry-optimized Na2VSN structure.

magnetic moment	0.17	μB per formula unit

abc: 5.7044 3.4587 5.7044
angles: 90.00 90.00 90.00
Last column: nearest neighbours and their distance in Å.
Element x y z (fractional)
Na  0.0000  0.0000  0.5000  2 S 2.85
Na  0.5000  0.0000  0.0000  2 S 2.85
S  0.0000  0.0000  0.0000  2 N 1.73
N  0.0000  0.5000  0.0000  2 S 1.73
V  0.5000  0.5000  0.5000  8 Na 3.34, 2 V 3.46

***

E_tot values (in eV/atom) by entry order: -1.466 -2.271 -3.565.